Compound: PmCd2Ag3
Source: the Alexandria database
Functional: PBE-GGA
Structure: relaxed

Values from the calculation:
E: -2.7194 eV/atom
D(E_F): 6.5 states/eV/cell
Offset from the most stable computed form: 0 meV per atom
Energy of formation from the pure elements: -197 meV per atom
Total magnetization: 0.00 μB/f.u.
Density: 8.73 g/cm³

abc: 4.8434 4.8434 12.9816
angles: 90.00 90.00 120.00
Sites, in units of the cell vectors:
Pm 0.0000 0.0000 0.2500
Pm 0.0000 0.0000 0.7500
Cd 0.6667 0.3333 0.4098
Cd 0.3333 0.6667 0.5902
Cd 0.3333 0.6667 0.9098
Cd 0.6667 0.3333 0.0902
Ag 0.0000 0.0000 0.5000
Ag 0.0000 0.0000 0.0000
Ag 0.6667 0.3333 0.6356
Ag 0.3333 0.6667 0.1356
Ag 0.6667 0.3333 0.8644
Ag 0.3333 0.6667 0.3644